[1]
A relaxed CuOs2 crystal. Source: the Alexandria database, functional PBE.

Lattice parameters (Å, degrees): 4.837 4.837 4.837 102.23 102.23 125.19
Element x y z (fractional)
Cu 0.750 0.750 0.000
Cu 0.250 0.250 0.000
Os 0.644 0.144 0.788
Os 0.356 0.856 0.212
Os 0.856 0.644 0.500
Os 0.144 0.356 0.500

## Properties
E = -8.308 eV per atom
magnetization = 0.00 μB/cell
ΔE_f = 544 meV/atom

***

[2]
A relaxed Cu3Os crystal. Source: the Alexandria database, functional PBE.

Lattice parameters (Å, degrees): 2.534 3.822 5.264 90.00 90.00 90.00
Element x y z (fractional)
Cu 0.000 0.000 0.997
Cu 0.500 0.500 0.750
Cu 0.000 0.000 0.503
Os 0.500 0.500 0.250

## Properties
E = -5.570 eV per atom
magnetization = 0.00 μB/cell
ΔE_f = 309 meV/atom

***

[3]
A relaxed CuOs crystal. Source: the Alexandria database, functional PBE.

Lattice parameters (Å, degrees): 7.008 7.008 4.111 90.00 90.00 120.00
Element x y z (fractional)
Cu 0.816 0.047 0.250
Cu 0.770 0.816 0.750
Cu 0.953 0.770 0.250
Cu 0.184 0.953 0.750
Cu 0.230 0.184 0.250
Cu 0.047 0.230 0.750
Os 0.098 0.498 0.250
Os 0.600 0.098 0.750
Os 0.502 0.600 0.250
Os 0.902 0.502 0.750
Os 0.400 0.902 0.250
Os 0.498 0.400 0.750

## Properties
E = -7.178 eV per atom
magnetization = 0.00 μB/cell
ΔE_f = 485 meV/atom

***

[4]
A relaxed Cu2Os crystal. Source: the Alexandria database, functional PBE.

Lattice parameters (Å, degrees): 6.042 6.042 6.042 155.19 155.19 35.37
Element x y z (fractional)
Cu 0.003 0.003 0.000
Cu 0.663 0.663 0.000
Os 0.333 0.333 0.000

## Properties
E = -6.142 eV per atom
magnetization = 0.00 μB/cell
ΔE_f = 332 meV/atom

***

[5]
A relaxed CuOs5 crystal. Source: the Alexandria database, functional PBE.

Lattice parameters (Å, degrees): 2.740 2.740 11.258 90.00 90.00 90.00
Element x y z (fractional)
Cu 0.500 0.500 0.500
Os 0.000 0.000 0.664
Os 0.500 0.500 0.826
Os 0.000 0.000 0.000
Os 0.500 0.500 0.174
Os 0.000 0.000 0.336

## Properties
E = -9.801 eV per atom
magnetization = 0.00 μB/cell
ΔE_f = 240 meV/atom

***

[6]
A relaxed CuOs2 crystal. Source: the Alexandria database, functional PBE.

Lattice parameters (Å, degrees): 4.285 4.285 5.172 90.00 90.00 120.00
Element x y z (fractional)
Cu 0.333 0.667 0.250
Cu 0.667 0.333 0.750
Os 0.000 0.000 0.000
Os 0.000 0.000 0.500
Os 0.333 0.667 0.750
Os 0.667 0.333 0.250

## Properties
E = -8.201 eV per atom
magnetization = 0.01 μB/cell
ΔE_f = 651 meV/atom